[1]
Entry from the Alexandria database: crystalline Er3Hg2Pd3 at its relaxed geometry (GGA-PBE).

Unit cell a=3.544 b=4.930 c=10.288 alpha=103.86 beta=99.92 gamma=90.00
Fractional coordinates of all 8 atoms:
Pd  0.000  0.500  0.000
Hg  0.266  0.766  0.532
Er  0.500  0.000  0.000
Hg  0.734  0.234  0.468
Pd  0.886  0.886  0.772
Er  0.373  0.373  0.745
Er  0.627  0.627  0.255
Pd  0.114  0.114  0.228

Calculated values
DOS at the Fermi energy   4.8 states/eV/cell
Density   11.82 Mg/m³
Energy above the most stable polymorph in this dataset   0.000 eV per formula unit
ΔH_f (0 K)   -0.70 eV per atom



[2]
Entry from the Alexandria database: crystalline Rb3Dy2YTe6 at its relaxed geometry (GGA-PBE).

Unit cell a=7.840 b=7.840 c=8.942 alpha=98.40 beta=98.40 gamma=120.00
Fractional coordinates of all 12 atoms:
Te  0.066  0.400  0.199
Te  0.733  0.733  0.199
Dy  0.333  0.667  0.000
Dy  0.667  0.333  0.000
Rb  0.833  0.167  0.500
Te  0.267  0.267  0.801
Rb  0.167  0.833  0.500
Te  0.934  0.600  0.801
Rb  0.500  0.500  0.500
Te  0.400  0.066  0.199
Y  0.000  0.000  0.000
Te  0.600  0.934  0.801

Calculated values
Density   5.24 Mg/m³
ΔE_f (raw)   -1389.8 meV/atom



[3]
Entry from the Alexandria database: crystalline ErThGaNi at its relaxed geometry (GGA-PBE).

Unit cell a=5.017 b=5.017 c=5.017 alpha=60.00 beta=60.00 gamma=60.00
Fractional coordinates of all 4 atoms:
Ga  0.750  0.750  0.750
Er  0.500  0.500  0.500
Th  0.000  0.000  0.000
Ni  0.250  0.250  0.250

Calculated values
DOS at the Fermi energy   3.6 states/eV/cell
Density   9.82 Mg/m³
ΔH_f (0 K)   -0.35 eV per atom



[4]
Entry from the Alexandria database: crystalline PmAlGe2Rh5 at its relaxed geometry (GGA-PBE).

Unit cell a=4.087 b=4.087 c=10.210 alpha=90.00 beta=90.00 gamma=90.00
Fractional coordinates of all 9 atoms:
Rh  0.500  0.500  0.500
Pm  0.000  0.000  0.500
Rh  0.500  0.000  0.142
Rh  0.500  0.000  0.858
Ge  0.500  0.500  0.733
Rh  0.000  0.500  0.858
Rh  0.000  0.500  0.142
Al  0.000  0.000  0.000
Ge  0.500  0.500  0.267

Calculated values
DOS at the Fermi energy   4.7 states/eV/cell
Density   8.10 Mg/m³
ΔH_f (0 K)   -0.49 eV per atom



[5]
Entry from the Alexandria database: crystalline K4Tb3SiO8 at its relaxed geometry (GGA-PBE).

Unit cell a=6.746 b=7.379 c=6.745 alpha=117.21 beta=120.00 gamma=90.00
Fractional coordinates of all 16 atoms:
K  0.500  0.000  0.500
Tb  0.500  0.500  0.500
O  0.195  0.666  0.390
K  0.500  0.000  0.000
O  0.777  0.666  0.971
K  0.000  0.000  0.500
Tb  0.000  0.500  0.500
Si  0.000  0.500  0.000
O  0.805  0.334  0.610
O  0.731  0.694  0.463
Tb  0.500  0.500  0.000
O  0.195  0.666  0.971
K  0.000  0.000  0.000
O  0.269  0.306  0.537
O  0.223  0.334  0.029
O  0.805  0.334  0.029

Calculated values
DOS at the Fermi energy   1.0 states/eV/cell
Density   5.31 Mg/m³
ΔE_f (raw)   -2384.3 meV/atom



[6]
Entry from the Alexandria database: crystalline K3Nb5Se12 at its relaxed geometry (GGA-PBE).

Unit cell a=14.579 b=14.579 c=14.579 alpha=109.47 beta=109.47 gamma=109.47
Fractional coordinates of all 80 atoms:
Se  0.606  0.010  0.193
Nb  0.000  0.500  0.000
K  0.750  0.875  0.625
Nb  0.125  0.375  0.250
K  0.125  0.250  0.875
Se  0.510  0.193  0.106
Se  0.096  0.913  0.106
Nb  0.875  0.250  0.625
Nb  0.250  0.875  0.125
Nb  0.625  0.750  0.875
Se  0.894  0.307  0.490
Nb  0.500  0.000  0.000
Nb  0.750  0.625  0.375
Se  0.913  0.096  0.606
K  0.375  0.750  0.625
K  0.125  0.875  0.750
Se  0.894  0.587  0.904
Se  0.596  0.990  0.683
Nb  0.500  0.500  0.500
Se  0.683  0.193  0.587
Nb  0.125  0.750  0.375
Se  0.606  0.596  0.913
Nb  0.000  0.000  0.500
K  0.250  0.625  0.875
Se  0.317  0.807  0.413
Se  0.817  0.904  0.010
Se  0.193  0.683  0.087
Se  0.587  0.894  0.404
Nb  0.375  0.125  0.750
Se  0.307  0.413  0.817
Nb  0.000  0.000  0.000
K  0.625  0.250  0.375
Se  0.394  0.990  0.807
Se  0.096  0.183  0.490
Se  0.817  0.913  0.307
Se  0.317  0.510  0.404
Se  0.183  0.096  0.990
Se  0.510  0.317  0.904
Se  0.693  0.106  0.010
Se  0.683  0.490  0.596
Se  0.394  0.404  0.087
K  0.250  0.125  0.375
Nb  0.250  0.375  0.625
Se  0.490  0.807  0.894
Se  0.010  0.606  0.693
Se  0.990  0.394  0.307
Nb  0.750  0.125  0.875
Se  0.404  0.010  0.317
Se  0.404  0.394  0.587
Nb  0.500  0.500  0.000
K  0.875  0.750  0.125
Se  0.183  0.087  0.693
Se  0.904  0.817  0.510
Nb  0.375  0.250  0.125
Se  0.413  0.307  0.317
Se  0.587  0.693  0.683
Se  0.596  0.606  0.413
Se  0.087  0.183  0.193
K  0.750  0.375  0.125
Se  0.990  0.596  0.183
Se  0.307  0.894  0.990
Se  0.693  0.587  0.183
Nb  0.875  0.625  0.750
K  0.375  0.625  0.250
K  0.875  0.125  0.250
Nb  0.500  0.000  0.500
Se  0.087  0.904  0.394
Se  0.413  0.106  0.596
Nb  0.000  0.500  0.500
Se  0.807  0.490  0.394
Se  0.904  0.087  0.894
Se  0.010  0.404  0.817
K  0.625  0.375  0.750
Se  0.106  0.413  0.096
Se  0.807  0.317  0.913
Se  0.193  0.510  0.606
Se  0.106  0.693  0.510
Se  0.913  0.817  0.807
Se  0.490  0.683  0.096
Nb  0.625  0.875  0.250

Calculated values
DOS at the Fermi energy   37.3 states/eV/cell
Density   4.26 Mg/m³
ΔE_f (raw)   -727.4 meV/atom